Compound: CaGa3B
Source: Alexandria via LeMat-Bulk
Functional: GGA-PBE
Structure: relaxed

Unit cell a=4.5455 b=4.5455 c=4.5455 alpha=90.00 beta=90.00 gamma=90.00
Positions (direct):
1 Ca 0.0000 0.0000 0.0000
2 Ga 0.0000 0.5000 0.5000
3 Ga 0.5000 0.0000 0.5000
4 Ga 0.5000 0.5000 0.0000
5 B 0.5000 0.5000 0.5000

Output
Final energy (eV per cell): -16.7
Polymorph energy (0 for the lowest one) (eV per formula unit): 0.00
DFT formation energy (eV per atom): 0.2084

=====

Compound: Cd4GeO5
Source: Alexandria via LeMat-Bulk
Functional: GGA-PBE
Structure: relaxed

Unit cell a=6.0510 b=6.0510 c=6.0510 alpha=97.14 beta=97.14 gamma=138.71
Positions (direct):
1 Cd 0.0987 0.6810 0.7797
2 Cd 0.3190 0.0987 0.4177
3 Cd 0.6810 0.9013 0.5823
4 Cd 0.9013 0.3190 0.2203
5 Ge 0.4588 0.4588 0.0000
6 O 0.0236 0.0236 0.0000
7 O 0.2931 0.3928 0.6785
8 O 0.3928 0.7143 0.0997
9 O 0.6146 0.2931 0.9003
10 O 0.7143 0.6146 0.3215

Output
Final energy (eV per cell): -43.0
E_form (uncorrected) (eV/atom): -0.990

=====

Compound: AlAgBr2
Source: Alexandria via LeMat-Bulk
Functional: GGA-PBE
Structure: relaxed

Unit cell a=3.8570 b=3.8578 c=7.6020 alpha=90.00 beta=102.14 gamma=90.00
Positions (direct):
1 Al 0.0000 0.0000 0.0000
2 Ag 0.5000 0.0000 0.5000
3 Br 0.3919 0.5000 0.7458
4 Br 0.6081 0.5000 0.2542

Output
Final energy (eV per cell): -10.5
E_form (uncorrected) (eV/atom): -0.151
Polymorph energy (0 for the lowest one) (eV per formula unit): 1.33